Compound: VGeF3
Source: the Alexandria database
Functional: PBE+U
Structure: optimized geometry

Geometry as POSCAR:
```
VGeF3
1.0
4.385 0.000 0.000
0.000 4.385 0.000
0.000 0.000 4.385
Ge V F
1 1 3
Direct
0.000 0.000 0.000
0.500 0.500 0.500
0.000 0.500 0.000
0.000 0.000 0.500
0.500 0.000 0.000
```

Values from the calculation:
- E_tot: -23.2 eV for the cell shown
- D(E_F): 9.8 states/eV per cell